Pm4Nd2In, optimized geometry, DFT GGA-PBE; formation energy from the elements = -0.061 eV per atom; Fermi-level density of states = 1.521 states/eV per atom; E_tot = -4.53 eV/atom
1.0
3.6917 0.0000 0.0000
1.8458 3.1971 0.0000
1.8458 1.0657 20.0664
Nd Pm In
2 4 1
Direct
0.1917 0.1917 0.4249 Nd
0.8083 0.8083 0.5751 Nd
0.7090 0.7090 0.8731 Pm
0.2910 0.2910 0.1269 Pm
0.0919 0.0919 0.7244 Pm
0.9081 0.9081 0.2756 Pm
0.0000 0.0000 0.0000 In